This record from Alexandria describes a PBEsol-optimized structure of LaMg2Te. The functional is meta-GGA SCAN.

abc: 4.5363 4.5363 5.1970
angles: 90.00 90.00 90.00
Closest atoms and distances in Å follow each position.
Atoms (fractional coordinates):
Mg1 0.5000 0.0000 0.0000  4 Mg 3.21, 4 Te 3.45, 4 La 3.45
Mg2 0.0000 0.5000 0.0000  4 Mg 3.21, 4 La 3.45, 4 Te 3.45
La1 0.0000 0.0000 0.5000  4 Te 3.21, 8 Mg 3.45
Te1 0.5000 0.5000 0.5000  4 La 3.21, 8 Mg 3.45

Computed properties:
As for the space-group type: P4/mmm. Its formation energy without anion corrections is -0.59 eV/atom. For the density of states at the Fermi level, the calculation gives 2.063 states/eV per cell.

This record from Alexandria describes a PBEsol-optimized structure of Ba2CrSe. The functional is meta-GGA SCAN.

abc: 4.1940 4.7753 7.1982
angles: 109.37 106.94 90.00
Closest atoms and distances in Å follow each position.
Atoms (fractional coordinates):
Ba1 0.7669 0.2669 0.5338  4 Se 3.36, 2 Cr 3.63
Cr1 0.5554 0.5554 0.1107  2 Se 2.66
Se1 0.1824 0.6824 0.3647  2 Cr 2.66
Ba2 0.9954 0.9954 0.9907  4 Cr 3.27, 2 Se 3.40

Computed properties:
As for the space-group type: Imm2. Its formation energy without anion corrections is -0.62 eV/atom. For the density of states at the Fermi level, the calculation gives 0.999 states/eV per cell.

This record from Alexandria describes a PBEsol-optimized structure of Be2SbRh. The functional is meta-GGA SCAN.

abc: 3.7702 3.7702 4.5480
angles: 114.49 114.49 90.00
Closest atoms and distances in Å follow each position.
Atoms (fractional coordinates):
Rh1 0.0000 0.0000 0.0000  8 Be 2.64, 4 Sb 2.67
Be1 0.7500 0.2500 0.5000  4 Sb 2.64, 4 Rh 2.64, 4 Be 2.67
Sb1 0.5000 0.5000 0.0000  8 Be 2.64, 4 Rh 2.67
Be2 0.2500 0.7500 0.5000  4 Sb 2.64, 4 Rh 2.64, 4 Be 2.67

Computed properties:
As for the space-group type: I4/mmm. Its formation energy without anion corrections is -0.06 eV/atom. For the density of states at the Fermi level, the calculation gives 1.383 states/eV per cell.

This record from Alexandria describes a PBEsol-optimized structure of SiHgIO2. The functional is meta-GGA SCAN.

abc: 3.7870 3.7870 5.5540
angles: 90.00 90.00 90.00
Closest atoms and distances in Å follow each position.
Atoms (fractional coordinates):
O1 0.5000 0.0000 0.0000  2 Si 1.89
Si1 0.0000 0.0000 0.0000  4 O 1.89
Hg1 0.5000 0.5000 0.5000  4 I 2.68
O2 0.0000 0.5000 0.0000  2 Si 1.89
I1 0.0000 0.0000 0.5000  4 Hg 2.68, 2 Si 2.78

Computed properties:
As for the space-group type: P4/mmm. Its formation energy without anion corrections is -0.52 eV/atom. For the density of states at the Fermi level, the calculation gives 0.536 states/eV per cell.

This record from Alexandria describes a PBEsol-optimized structure of GeTe2HI. The functional is meta-GGA SCAN.

abc: 5.3692 5.3692 5.7286
angles: 90.00 90.00 90.00
Closest atoms and distances in Å follow each position.
Atoms (fractional coordinates):
Te1 0.0000 0.5000 0.0000  2 Ge 2.68
H1 0.5000 0.5000 0.5000  4 I 3.80, 8 Te 3.93
Te2 0.5000 0.0000 0.0000  2 Ge 2.68
I1 0.0000 0.0000 0.5000  2 Ge 2.86
Ge1 0.0000 0.0000 0.0000  4 Te 2.68, 2 I 2.86

Computed properties:
As for the space-group type: P4/mmm. For the density of states at the Fermi level, the calculation gives 4.035 states/eV per cell. As for the excess energy over the best structure of this formula in the dataset: 298 meV/atom.

This record from Alexandria describes a PBEsol-optimized structure of La2Ir. The functional is meta-GGA SCAN.

abc: 5.8961 5.8961 5.8961
angles: 60.00 60.00 60.00
Closest atoms and distances in Å follow each position.
Atoms (fractional coordinates):
La1 0.1250 0.6250 0.1250  6 La 2.95
La2 0.1250 0.1250 0.1250  6 La 2.95
La3 0.1250 0.1250 0.6250  6 La 2.95
Ir1 0.7500 0.7500 0.7500  12 La 3.46, 4 Ir 3.61
La4 0.6250 0.1250 0.1250  6 La 2.95
Ir2 0.5000 0.5000 0.5000  12 La 3.46, 4 Ir 3.61

Computed properties:
As for the space-group type: Fd-3m. For the density of states at the Fermi level, the calculation gives 7.174 states/eV per cell. For the formation energy from the elements, the calculation gives 0.728 eV per atom.

This record from Alexandria describes a PBEsol-optimized structure of Ga2PdPb2. The functional is meta-GGA SCAN.

abc: 4.5311 4.5311 6.6793
angles: 109.83 109.83 90.00
Closest atoms and distances in Å follow each position.
Atoms (fractional coordinates):
Ga1 0.4015 0.4015 0.8031  1 Ga 2.31
Pb1 0.7500 0.2500 0.5000  4 Ga 2.88, 4 Pb 3.20
Pb2 0.2500 0.7500 0.5000  4 Ga 2.88, 4 Pb 3.20
Ga2 0.5985 0.5985 0.1969  1 Ga 2.31
Pd1 0.0000 0.0000 0.0000  8 Ga 3.41, 8 Pb 3.70

Computed properties:
As for the space-group type: I4/mmm. For the density of states at the Fermi level, the calculation gives 1.599 states/eV per cell. For the formation energy from the elements, the calculation gives 0.419 eV per atom.

This record from Alexandria describes a PBEsol-optimized structure of CoCuNi2. The functional is meta-GGA SCAN.

abc: 2.4563 2.4563 8.2111
angles: 81.40 81.40 60.00
Closest atoms and distances in Å follow each position.
Atoms (fractional coordinates):
Ni1 0.7506 0.7506 0.7482  3 Co 2.42, 9 Ni 2.46
Ni2 0.0012 0.0012 0.9964  9 Ni 2.46, 3 Cu 2.49
Co1 0.4980 0.4980 0.5060  3 Ni 2.42, 6 Co 2.46, 3 Cu 2.51
Cu1 0.2502 0.2502 0.2494  6 Cu 2.46, 3 Ni 2.49, 3 Co 2.51

Computed properties:
As for the space-group type: R3m. For the density of states at the Fermi level, the calculation gives 3.698 states/eV per cell. For the formation energy from the elements, the calculation gives 0.057 eV per atom.

This record from Alexandria describes a PBEsol-optimized structure of KZnH5S2O10. The functional is meta-GGA SCAN.

abc: 4.5429 5.8226 8.1288
angles: 103.26 97.31 97.70
Closest atoms and distances in Å follow each position.
Atoms (fractional coordinates):
O1 0.4861 0.3096 0.4041  1 H 1.21
O2 0.5126 0.6964 0.5990  1 H 1.20
O3 0.1962 0.4457 0.7293  1 S 1.47, 1 H 1.64
O4 0.6259 0.7176 0.9077  1 S 1.49
K1 0.0008 0.0028 0.5014  6 O 2.69-2.96, 2 H 2.99-3.00
H1 0.6324 0.2765 0.9027  1 O 0.98
H2 0.9454 0.3367 0.8325  1 O 1.00
O5 0.7957 0.1261 0.2138  1 S 1.48
O6 0.8032 0.5597 0.2739  1 S 1.47, 1 H 1.64
O7 0.1951 0.7970 0.1430  2 H 0.98-1.00
S1 0.6178 0.3224 0.2433  4 O 1.47-1.52
H3 0.4994 0.5037 0.5020  2 O 1.20-1.21
O8 0.3732 0.2882 0.0955  1 S 1.49
O9 0.2028 0.8793 0.7894  1 S 1.48
Zn1 0.9995 0.0032 0.0018  6 O 2.05-2.14
O10 0.8037 0.2087 0.8602  2 H 0.98-1.00
H4 0.0534 0.6688 0.1706  1 O 1.00
S2 0.3810 0.6832 0.7601  4 O 1.47-1.52
H5 0.3667 0.7293 0.1008  1 O 0.98

Computed properties:
As for the space-group type: P1. For the density of states at the Fermi level, the calculation gives 0.000 states/eV per cell.

This record from Alexandria describes a PBEsol-optimized structure of TeMoI2. The functional is meta-GGA SCAN.

abc: 5.1977 5.1977 5.1977
angles: 60.00 60.00 60.00
Closest atoms and distances in Å follow each position.
Atoms (fractional coordinates):
Mo1 0.0000 0.0000 0.0000  8 I 3.18
Te1 0.5000 0.5000 0.5000  8 I 3.18
I1 0.7500 0.7500 0.7500  4 Te 3.18, 4 Mo 3.18
I2 0.2500 0.2500 0.2500  4 Mo 3.18, 4 Te 3.18

Computed properties:
As for the space-group type: Fm-3m. Its formation energy without anion corrections is 1.05 eV/atom. For the density of states at the Fermi level, the calculation gives 2.938 states/eV per cell.

This record from Alexandria describes a PBEsol-optimized structure of ZnNiIr. The functional is meta-GGA SCAN.

abc: 2.6651 2.6651 6.1773
angles: 90.00 90.00 120.00
Closest atoms and distances in Å follow each position.
Atoms (fractional coordinates):
Ir1 0.0000 0.0000 0.9918  3 Ni 2.55, 6 Ir 2.67, 3 Zn 2.67
Ni1 0.6667 0.3333 0.6625  3 Zn 2.49, 3 Ir 2.55, 6 Ni 2.67
Zn1 0.3333 0.6667 0.3457  3 Ni 2.49, 6 Zn 2.67, 3 Ir 2.67

Computed properties:
As for the space-group type: P3m1. For the density of states at the Fermi level, the calculation gives 2.058 states/eV per cell. For the formation energy from the elements, the calculation gives -0.093 eV per atom. As for the excess energy over the best structure of this formula in the dataset: 0 meV/atom.

This record from Alexandria describes a PBEsol-optimized structure of AlFeSb2. The functional is meta-GGA SCAN.

abc: 3.6577 3.6577 7.2925
angles: 75.48 75.48 60.00
Closest atoms and distances in Å follow each position.
Atoms (fractional coordinates):
Sb1 0.2593 0.2593 0.2221  3 Fe 2.62, 3 Al 2.87
Sb2 0.7407 0.7407 0.7779  3 Fe 2.62, 3 Al 2.87
Fe1 0.0000 0.0000 0.0000  6 Sb 2.62
Al1 0.5000 0.5000 0.5000  6 Sb 2.87

Computed properties:
As for the space-group type: R-3m. Its formation energy without anion corrections is 0.21 eV/atom. For the density of states at the Fermi level, the calculation gives 2.652 states/eV per cell.

This record from Alexandria describes a PBEsol-optimized structure of BaIrSN2. The functional is meta-GGA SCAN.

abc: 4.0058 4.0058 5.0233
angles: 90.00 90.00 90.00
Closest atoms and distances in Å follow each position.
Atoms (fractional coordinates):
Ir1 0.0000 0.0000 0.0000  4 N 2.00
Ba1 0.5000 0.5000 0.5000  4 S 2.83
N1 0.5000 0.0000 0.0000  2 Ir 2.00
N2 0.0000 0.5000 0.0000  2 Ir 2.00
S1 0.0000 0.0000 0.5000  2 Ir 2.51

Computed properties:
As for the space-group type: P4/mmm. Its formation energy without anion corrections is 0.04 eV/atom. For the density of states at the Fermi level, the calculation gives 2.317 states/eV per cell.

This record from Alexandria describes a PBEsol-optimized structure of HgH2PbI. The functional is meta-GGA SCAN.

abc: 4.2182 4.2182 5.8912
angles: 90.00 90.00 90.00
Closest atoms and distances in Å follow each position.
Atoms (fractional coordinates):
Hg1 0.0000 0.0000 0.5000  2 Pb 2.95, 4 I 2.98
Pb1 0.0000 0.0000 0.0000  4 H 2.11
I1 0.5000 0.5000 0.5000  4 Hg 2.98
H1 0.0000 0.5000 0.0000  2 Pb 2.11
H2 0.5000 0.0000 0.0000  2 Pb 2.11

Computed properties:
As for the space-group type: P4/mmm. For the density of states at the Fermi level, the calculation gives 2.376 states/eV per cell.

This record from Alexandria describes a PBEsol-optimized structure of SnPIN2. The functional is meta-GGA SCAN.

abc: 4.0215 4.0215 6.6150
angles: 90.00 90.00 90.00
Closest atoms and distances in Å follow each position.
Atoms (fractional coordinates):
N1 0.5000 0.0000 0.0000  2 Sn 2.01
N2 0.0000 0.5000 0.0000  2 Sn 2.01
P1 0.5000 0.5000 0.5000  4 I 2.84
I1 0.0000 0.0000 0.5000  4 P 2.84
Sn1 0.0000 0.0000 0.0000  4 N 2.01

Computed properties:
As for the space-group type: P4/mmm. Its formation energy without anion corrections is 1.56 eV/atom. For the density of states at the Fermi level, the calculation gives 1.698 states/eV per cell.

This record from Alexandria describes a PBEsol-optimized structure of Ca3HPb. The functional is meta-GGA SCAN.

abc: 4.9211 4.9211 4.9211
angles: 90.00 90.00 90.00
Closest atoms and distances in Å follow each position.
Atoms (fractional coordinates):
Ca1 0.0000 0.0000 0.5000  2 H 2.46
Ca2 0.5000 0.0000 0.0000  2 H 2.46
H1 0.0000 0.0000 0.0000  6 Ca 2.46
Pb1 0.5000 0.5000 0.5000  12 Ca 3.48
Ca3 0.0000 0.5000 0.0000  2 H 2.46

Computed properties:
As for the space-group type: Pm-3m. For the density of states at the Fermi level, the calculation gives 1.916 states/eV per cell.

This record from Alexandria describes a PBEsol-optimized structure of ZrAs2Rh. The functional is meta-GGA SCAN.

abc: 3.5299 3.5299 5.4831
angles: 90.00 90.00 90.00
Closest atoms and distances in Å follow each position.
Atoms (fractional coordinates):
As1 0.0000 0.0000 0.9613  2 Rh 2.63-2.85, 4 Zr 2.66
As2 0.5000 0.5000 0.3039  4 Rh 2.61, 2 Zr 2.68-2.80
Zr1 0.5000 0.5000 0.7936  6 As 2.66-2.80
Rh1 0.0000 0.0000 0.4412  6 As 2.61-2.85

Computed properties:
As for the space-group type: P4mm. For the density of states at the Fermi level, the calculation gives 2.325 states/eV per cell. For the formation energy from the elements, the calculation gives -0.744 eV per atom.

This record from Alexandria describes a PBEsol-optimized structure of AlSe2Br. The functional is meta-GGA SCAN.

abc: 3.6877 4.9893 5.2117
angles: 106.02 90.00 90.00
Closest atoms and distances in Å follow each position.
Atoms (fractional coordinates):
Al1 0.5000 0.5000 0.5000  4 Se 2.55, 2 Br 2.61
Br1 0.5000 0.5000 0.0000  2 Al 2.61
Se1 0.0000 0.8623 0.6533  1 Se 2.38, 2 Al 2.55
Se2 0.0000 0.1377 0.3467  1 Se 2.38, 2 Al 2.55

Computed properties:
As for the space-group type: P2/m. Its formation energy without anion corrections is -0.69 eV/atom. As for the excess energy over the best structure of this formula in the dataset: 0 meV/atom.

This record from Alexandria describes a PBEsol-optimized structure of TaBe2Tc2. The functional is meta-GGA SCAN.

abc: 3.1041 6.2227 6.2227
angles: 90.00 90.00 90.00
Closest atoms and distances in Å follow each position.
Atoms (fractional coordinates):
Tc1 0.5000 0.1764 0.6764  6 Be 2.40-2.42
Tc2 0.5000 0.3236 0.1764  6 Be 2.40-2.42
Tc3 0.5000 0.8236 0.3236  6 Be 2.40-2.42
Tc4 0.5000 0.6764 0.8236  6 Be 2.40-2.42
Be1 0.0000 0.8841 0.6159  1 Be 2.04
Ta1 0.0000 0.5000 0.5000  4 Be 2.50, 8 Tc 2.77
Ta2 0.0000 0.0000 0.0000  4 Be 2.50, 8 Tc 2.77
Be2 0.0000 0.1159 0.3841  1 Be 2.04
Be3 0.0000 0.3841 0.8841  1 Be 2.04
Be4 0.0000 0.6159 0.1159  1 Be 2.04

Computed properties:
As for the space-group type: P4/mbm. For the density of states at the Fermi level, the calculation gives 5.173 states/eV per cell. For the formation energy from the elements, the calculation gives -0.450 eV per atom.

This record from Alexandria describes a PBEsol-optimized structure of LiV2O5. The functional is meta-GGA SCAN.

abc: 3.5806 5.2202 11.1945
angles: 90.00 90.00 110.06
Closest atoms and distances in Å follow each position.
Atoms (fractional coordinates):
O1 0.7579 0.5157 0.4263  3 V 1.89-1.99
Li1 0.1044 0.2088 0.7500  4 O 2.00-2.11
Li2 0.8956 0.7912 0.2500  4 O 2.00-2.11
O2 0.9564 0.9129 0.6271  1 V 1.61
O3 0.0436 0.0871 0.3729  1 V 1.61
O4 0.7183 0.4366 0.7500  2 V 1.83
V1 0.7955 0.5911 0.6008  1 O 1.61
O5 0.2421 0.4843 0.5737  3 V 1.89-1.99
V2 0.2045 0.4089 0.3992  1 O 1.61
V3 0.2045 0.4089 0.1008  1 O 1.61
O6 0.7579 0.5157 0.0737  3 V 1.89-1.99
O7 0.9564 0.9129 0.8729  1 V 1.61
O8 0.2817 0.5634 0.2500  2 V 1.83
O9 0.0436 0.0871 0.1271  1 V 1.61
V4 0.7955 0.5911 0.8992  1 O 1.61
O10 0.2421 0.4843 0.9263  3 V 1.89-1.99

Computed properties:
As for the space-group type: Cmcm. Its formation energy without anion corrections is -2.54 eV/atom. For the density of states at the Fermi level, the calculation gives 3.253 states/eV per cell. As for the excess energy over the best structure of this formula in the dataset: 0 meV/atom.

Raw total energy readings, ordered: -23.168 -30.011 -19.991 -25.996 -25.944 -51.709 -42.987 -16.156 -7.856 -35.350 -33.689 -24.894 -27.735 -37.207 -18.766 -22.184 -26.957 -17.528 -29.532 -11.107 eV/atom